Material: H3WAu
Method: DFT, GGA-PBE
State: relaxed

Its energy above the most stable polymorph in this dataset is 521 meV per atom. The calculation puts the density at 14.081 g/cm3. Its calculated total energy is -20.771 eV per formula unit.

The structure belongs to space group Pm-3m (No. 221); the cell edges are 3.564, 3.564 and 3.564 Å and the angles 90.00°, 90.00° and 90.00°. The asymmetric unit holds H at (0.000, 0.000, 0.500), W at (0.500, 0.500, 0.500) and Au at (0.000, 0.000, 0.000).